No. 1
Density functional theory data (PBE) for TaBe2 after structural relaxation.

Output
D(E_F): 0.9 states/eV/f.u.
Calculated formation energy: -0.038 eV/atom
Symmetry: No. 139
M_tot: 0.0000 μB/atom

Cell: 5.0515 5.0515 5.0515 Å, 148.49 148.49 45.17°
Last column: nearest neighbours and their distance in Å.
Sites, in units of the cell vectors:
1 Ta 0.0000 0.0000 0.0000  10 Be 2.65-2.85, 4 Ta 2.74
2 Be 0.3060 0.3060 0.0000  4 Be 2.20
3 Be 0.6940 0.6940 0.0000  4 Be 2.20

***

No. 2
Density functional theory data (PBE) for Ac2IrBr after structural relaxation.

Output
Formation energy from raw total energies: -1.196 eV/atom
D(E_F): 1.0 states/eV/f.u.
Symmetry: No. 12
M_tot: 0.0000 μB/atom
Excess energy over the best structure of this formula in the dataset: 0.00 eV/f.u.

Cell: 4.3662 4.3662 8.6255 Å, 104.72 104.72 59.99°
Last column: nearest neighbours and their distance in Å.
Sites, in units of the cell vectors:
1 Ac 0.2314 0.2314 0.1932  3 Ir 2.98
2 Ac 0.7687 0.7687 0.8068  3 Ir 2.98
3 Ir 0.5000 0.5000 0.0000  6 Ac 2.98
4 Br 0.0000 0.0000 0.5000  6 Ac 3.57

***

No. 3
Density functional theory data (PBE) for NaMgF2 after structural relaxation.

Output
Formation energy from raw total energies: -2.445 eV/atom
D(E_F): 0.6 states/eV/f.u.
Symmetry: No. 166
M_tot: 0.0000 μB/atom
Excess energy over the best structure of this formula in the dataset: 0.17 eV/f.u.

Cell: 6.6187 6.6187 6.6187 Å, 30.18 30.18 30.18°
Last column: nearest neighbours and their distance in Å.
Sites, in units of the cell vectors:
1 Na 0.0000 0.0000 0.0000  6 F 2.35
2 Mg 0.5000 0.5000 0.5000  2 F 1.90
3 F 0.3995 0.3995 0.3995  1 Mg 1.90
4 F 0.6005 0.6005 0.6005  1 Mg 1.90

***

No. 4
Density functional theory data (PBE) for PtCl3 after structural relaxation.

Output
Formation energy from raw total energies: 0.449 eV/atom
D(E_F): 6.0 states/eV/f.u.
Symmetry: No. 187
M_tot: 0.2526 μB/atom

Cell: 3.5147 3.5147 8.1275 Å, 90.00 90.00 120.00°
Last column: nearest neighbours and their distance in Å.
Sites, in units of the cell vectors:
1 Pt 0.0000 0.0000 0.0000  6 Cl 2.56
2 Cl 0.0000 0.0000 0.5000  12 Cl 3.23-3.51
3 Cl 0.3333 0.6667 0.1913  3 Pt 2.56
4 Cl 0.3333 0.6667 0.8087  3 Pt 2.56

***

No. 5
Density functional theory data (PBE) for LaFe2Pt after structural relaxation.

Output
D(E_F): 4.3 states/eV/f.u.
Calculated formation energy: -0.232 eV/atom
Symmetry: No. 12
M_tot: 1.0175 μB/atom

Cell: 4.3205 4.3205 5.4913 Å, 113.26 113.26 60.06°
Last column: nearest neighbours and their distance in Å.
Sites, in units of the cell vectors:
1 La 0.0000 0.0000 0.0000  2 Fe 2.76
2 Fe 0.1878 0.1878 0.5638  3 Pt 2.51, 3 Fe 2.57, 1 La 2.76
3 Fe 0.8122 0.8122 0.4362  3 Pt 2.51, 3 Fe 2.57, 1 La 2.76
4 Pt 0.5000 0.5000 0.5000  6 Fe 2.51

***

No. 6
Density functional theory data (PBE) for TaAs2Os after structural relaxation.

Output
D(E_F): 2.5 states/eV/f.u.
Calculated formation energy: 0.274 eV/atom
Symmetry: No. 122
M_tot: 0.0000 μB/atom
Excess energy over the best structure of this formula in the dataset: 1.53 eV/f.u.

Cell: 9.0691 9.0691 9.0691 Å, 154.14 154.14 36.90°
Last column: nearest neighbours and their distance in Å.
Sites, in units of the cell vectors:
1 Ta 0.0000 0.0000 0.0000  4 As 2.62, 4 Os 2.87
2 Ta 0.7500 0.2500 0.5000  4 As 2.62, 4 Os 2.87
3 As 0.1429 0.6250 0.0179  2 Os 2.56, 2 Ta 2.62, 2 As 2.77
4 As 0.3750 0.3929 0.5179  2 Os 2.56, 2 Ta 2.62, 2 As 2.77
5 As 0.6071 0.1250 0.9821  2 Os 2.56, 2 Ta 2.62, 2 As 2.77
6 As 0.8750 0.8571 0.4821  2 Os 2.56, 2 Ta 2.62, 2 As 2.77
7 Os 0.2500 0.7500 0.5000  4 As 2.56
8 Os 0.5000 0.5000 0.0000  4 As 2.56

***

No. 7
Density functional theory data (PBE) for LiZn8Ag3 after structural relaxation.

Output
D(E_F): 3.3 states/eV/f.u.
Calculated formation energy: 0.202 eV/atom
Symmetry: No. 121
M_tot: 0.0000 μB/atom
Excess energy over the best structure of this formula in the dataset: 3.43 eV/f.u.

Cell: 6.7075 6.7075 6.7075 Å, 116.96 116.96 95.35°
Last column: nearest neighbours and their distance in Å.
Sites, in units of the cell vectors:
1 Li 0.0000 0.0000 0.0000  8 Zn 2.38-2.49
2 Zn 0.0993 0.3676 0.0000  1 Li 2.49, 3 Zn 2.52-2.66, 3 Ag 2.74-2.75
3 Zn 0.2136 0.7356 0.0000  1 Li 2.38, 2 Zn 2.52-2.56, 1 Ag 2.60
4 Zn 0.2644 0.2644 0.4780  1 Li 2.38, 2 Zn 2.52-2.56, 1 Ag 2.60
5 Zn 0.3676 0.0993 0.0000  1 Li 2.49, 3 Zn 2.52-2.66, 3 Ag 2.74-2.75
6 Zn 0.6324 0.6324 0.7317  1 Li 2.49, 3 Zn 2.52-2.66, 3 Ag 2.74-2.75
7 Zn 0.7356 0.2136 0.0000  1 Li 2.38, 2 Zn 2.52-2.56, 1 Ag 2.60
8 Zn 0.7864 0.7864 0.5220  1 Li 2.38, 2 Zn 2.52-2.56, 1 Ag 2.60
9 Zn 0.9007 0.9007 0.2683  1 Li 2.49, 3 Zn 2.52-2.66, 3 Ag 2.74-2.75
10 Ag 0.2500 0.7500 0.5000  4 Zn 2.74
11 Ag 0.5000 0.5000 0.0000  8 Zn 2.60-2.75
12 Ag 0.7500 0.2500 0.5000  4 Zn 2.74

***

No. 8
Density functional theory data (PBE) for ScPtAu2 after structural relaxation.

Output
D(E_F): 2.1 states/eV/f.u.
Calculated formation energy: -0.332 eV/atom
Symmetry: No. 122
M_tot: 0.0000 μB/atom

Cell: 6.0287 6.0287 6.0287 Å, 101.74 101.74 126.38°
Last column: nearest neighbours and their distance in Å.
Sites, in units of the cell vectors:
1 Sc 0.0000 0.0000 0.0000  2 Pt 2.72, 4 Au 2.82
2 Sc 0.7500 0.2500 0.5000  2 Pt 2.72, 4 Au 2.82
3 Pt 0.2500 0.7500 0.5000  2 Sc 2.72, 4 Au 2.73
4 Pt 0.5000 0.5000 0.0000  2 Sc 2.72, 4 Au 2.73
5 Au 0.1336 0.6250 0.0086  2 Au 2.72, 2 Pt 2.73, 2 Sc 2.82
6 Au 0.3750 0.3836 0.5086  2 Au 2.72, 2 Pt 2.73, 2 Sc 2.82
7 Au 0.6164 0.1250 0.9914  2 Au 2.72, 2 Pt 2.73, 2 Sc 2.82
8 Au 0.8750 0.8664 0.4914  2 Au 2.72, 2 Pt 2.73, 2 Sc 2.82

***

No. 9
Density functional theory data (PBE) for Dy2Lu after structural relaxation.

Output
D(E_F): 4.2 states/eV/f.u.
Calculated formation energy: 0.255 eV/atom
Symmetry: No. 227
M_tot: 0.0000 μB/atom
Excess energy over the best structure of this formula in the dataset: 0.69 eV/f.u.

Cell: 6.4741 6.4741 6.4741 Å, 60.00 60.00 60.00°
Last column: nearest neighbours and their distance in Å.
Sites, in units of the cell vectors:
1 Dy 0.0000 0.0000 0.0000  6 Dy 3.24
2 Dy 0.0000 0.0000 0.5000  6 Dy 3.24
3 Dy 0.0000 0.5000 0.0000  6 Dy 3.24
4 Dy 0.5000 0.0000 0.0000  6 Dy 3.24
5 Lu 0.3750 0.3750 0.3750  12 Dy 3.80, 4 Lu 3.96
6 Lu 0.6250 0.6250 0.6250  12 Dy 3.80, 4 Lu 3.96

***

No. 10
Density functional theory data (PBE) for Pm2Nb3Si4 after structural relaxation.

Output
Formation energy from raw total energies: -0.768 eV/atom
D(E_F): 4.8 states/eV/f.u.
Symmetry: No. 14
M_tot: 0.0000 μB/atom

Cell: 7.1385 7.1502 7.0015 Å, 90.00 108.77 90.00°
Last column: nearest neighbours and their distance in Å.
Sites, in units of the cell vectors:
1 Pm 0.1869 0.1686 0.0652  7 Si 2.89-3.19
2 Pm 0.1869 0.3314 0.5652  7 Si 2.89-3.19
3 Pm 0.8131 0.6686 0.4348  7 Si 2.89-3.19
4 Pm 0.8131 0.8314 0.9348  7 Si 2.89-3.19
5 Nb 0.2587 0.6748 0.2483  6 Si 2.60-2.79
6 Nb 0.2587 0.8252 0.7483  6 Si 2.60-2.79
7 Nb 0.5000 0.0000 0.5000  6 Si 2.76-2.82, 4 Nb 3.08-3.09
8 Nb 0.5000 0.5000 0.0000  6 Si 2.76-2.82, 4 Nb 3.08-3.09
9 Nb 0.7413 0.1748 0.2517  6 Si 2.60-2.79
10 Nb 0.7413 0.3252 0.7517  6 Si 2.60-2.79
11 Si 0.0867 0.5401 0.8725  1 Si 2.54, 4 Nb 2.67-2.81
12 Si 0.0867 0.9599 0.3725  1 Si 2.54, 4 Nb 2.67-2.81
13 Si 0.4967 0.1252 0.8724  1 Si 2.52, 4 Nb 2.60-2.76
14 Si 0.4967 0.3748 0.3724  1 Si 2.52, 4 Nb 2.60-2.76
15 Si 0.5033 0.6252 0.6276  1 Si 2.52, 4 Nb 2.60-2.76
16 Si 0.5033 0.8748 0.1276  1 Si 2.52, 4 Nb 2.60-2.76
17 Si 0.9133 0.0401 0.6275  1 Si 2.54, 4 Nb 2.67-2.81
18 Si 0.9133 0.4599 0.1275  1 Si 2.54, 4 Nb 2.67-2.81